Record 1
KZrP3, optimized geometry, DFT PBE; relative energy among the computed polymorphs = 859 kJ/mol of formula units; N(E_F) = 1.173 states/eV per atom; total moment = 0.00 μB/cell; formation energy = 1666 meV per atom; total DFT energy (no corrections) = -3.509 eV/atom; symmetry = No. 221
1.0
4.905 0.000 0.000
0.000 4.905 0.000
0.000 0.000 4.905
K Zr P
1 1 3
Direct
0.000 0.000 0.000
0.500 0.500 0.500
0.000 0.000 0.500
0.000 0.500 0.000
0.500 0.000 0.000

=====

Record 2
K2ZrP, optimized geometry, DFT PBE; N(E_F) = 0.749 states/eV per atom; total moment = 0.00 μB/cell; formation energy = 535 meV per atom; total DFT energy (no corrections) = -3.503 eV/atom; symmetry = No. 65
1.0
4.318 0.000 0.000
0.000 4.336 0.000
0.000 0.000 11.971
K Zr P
4 2 2
Direct
0.000 0.000 0.198
0.000 0.000 0.802
0.500 0.500 0.198
0.500 0.500 0.802
0.000 0.500 0.500
0.500 0.000 0.500
0.000 0.500 0.000
0.500 0.000 0.000

=====

Record 3
KZrP3, optimized geometry, DFT PBE; relative energy among the computed polymorphs = 0 kJ/mol of formula units; N(E_F) = 1.003 states/eV per atom; total moment = 0.00 μB/cell; formation energy = -115 meV per atom; total DFT energy (no corrections) = -5.290 eV/atom; symmetry = No. 221
1.0
5.100 0.000 0.000
0.000 5.100 0.000
0.000 0.000 5.100
K Zr P
1 1 3
Direct
0.000 0.000 0.000
0.500 0.500 0.500
0.000 0.500 0.500
0.500 0.000 0.500
0.500 0.500 0.000

=====

Record 4
KZr3P, optimized geometry, DFT PBE; relative energy among the computed polymorphs = 0 kJ/mol of formula units; N(E_F) = 1.361 states/eV per atom; total moment = 0.00 μB/cell; formation energy = 171 meV per atom; total DFT energy (no corrections) = -6.259 eV/atom; symmetry = No. 221
1.0
5.088 0.000 0.000
0.000 5.088 0.000
0.000 0.000 5.088
K Zr P
1 3 1
Direct
0.000 0.000 0.000
0.000 0.500 0.500
0.500 0.000 0.500
0.500 0.500 0.000
0.500 0.500 0.500

=====

Record 5
K2ZrP, optimized geometry, DFT PBE; N(E_F) = 0.862 states/eV per atom; total moment = 3.81 μB/cell; formation energy = 512 meV per atom; total DFT energy (no corrections) = -3.526 eV/atom; symmetry = No. 65
1.0
5.571 0.000 0.000
0.000 11.536 0.000
0.000 0.000 3.608
K Zr P
4 2 2
Direct
0.250 0.250 0.000
0.250 0.750 0.000
0.750 0.250 0.000
0.750 0.750 0.000
0.000 0.000 0.500
0.500 0.500 0.500
0.000 0.500 0.500
0.500 0.000 0.500

=====

Record 6
K3ZrP, optimized geometry, DFT PBE; relative energy among the computed polymorphs = 0 kJ/mol of formula units; N(E_F) = 0.603 states/eV per atom; total moment = 2.00 μB/cell; formation energy = 874 meV per atom; total DFT energy (no corrections) = -2.576 eV/atom; symmetry = No. 221
1.0
6.249 0.000 0.000
0.000 6.249 0.000
0.000 0.000 6.249
K Zr P
3 1 1
Direct
0.000 0.000 0.500
0.000 0.500 0.000
0.500 0.000 0.000
0.500 0.500 0.500
0.000 0.000 0.000

=====

> Number 1 is which compound?

KZrP3

=====

> Look up the N(E_F) of the first one.

1.173 states/eV per atom

=====

> formation energy of number 2 (K2ZrP)?

535 meV per atom

=====

> Among the records above, which one has the highest formation energy?

number 1